A plane-wave DFT calculation with PBE was carried out for crystalline NaAgIrPb2 at its relaxed geometry. Values from VASP.

Computed properties:
The value obtained for the volume is 29.54 A^3/atom. The space-group type is P4/mmm (123). For the density of states at the Fermi level, the calculation gives 0.5298 states/eV per atom. As for the final energy: -3.856 eV/atom. The value obtained for the magnetic moment is 0.000 μB/f.u. As for the energy of formation from the pure elements: 0.234 eV per atom.

```
&SYSTEM
  ibrav = 0, nat = 5, ntyp = 4
/
ATOMIC_SPECIES
Pb 207.20 Pb.upf
Na 22.99 Na.upf
Ir 192.22 Ir.upf
Ag 107.87 Ag.upf
CELL_PARAMETERS angstrom
5.2194 0.0000 0.0000
0.0000 5.4213 0.0000
0.0000 0.0000 5.2194
ATOMIC_POSITIONS crystal
Pb 0.0000 0.0000 0.5000
Pb 0.5000 0.0000 0.0000
Na 0.5000 0.5000 0.5000
Ir 0.0000 0.0000 0.0000
Ag 0.0000 0.5000 0.0000
```